This record from Alexandria via LeMat-Bulk describes a geometry-optimized AgTe3Au structure. The functional is GGA-PBE.

a = 5.4743 Å, b = 5.4743 Å, c = 5.4743 Å
α = 90.00°, β = 90.00°, γ = 90.00°
Last column: nearest neighbours and their distance in Å.
Fractional positions:
Te1 0.0000 0.5000 0.0000  2 Au 2.74
Te2 0.0000 0.0000 0.5000  2 Au 2.74
Te3 0.5000 0.0000 0.0000  2 Au 2.74
Au1 0.0000 0.0000 0.0000  6 Te 2.74
Ag1 0.5000 0.5000 0.5000  12 Te 3.87

Summary:
As for the energy above the most stable polymorph in this dataset: 0.553 eV per atom. The value obtained for the uncorrected formation energy is 0.60 eV per atom. The value obtained for the final energy is -12.5 eV/cell. As for the symmetry: Pm-3m, No. 221.